MgV2O6 | PBE with a Hubbard U | optimized geometry

## Properties
Offset from the most stable computed form in eV/atom: 0.000
Crystal system: monoclinic

a = 5.279 Å, b = 5.279 Å, c = 7.032 Å
α = 100.00°, β = 100.00°, γ = 39.66°
Positions (direct):
Mg 0.000 0.000 0.000
V 0.247 0.247 0.687
V 0.753 0.753 0.313
O 0.101 0.101 0.773
O 0.238 0.238 0.393
O 0.381 0.381 0.877
O 0.619 0.619 0.123
O 0.762 0.762 0.607
O 0.899 0.899 0.227